The following is a DFT calculation (PBE-GGA) of crystalline LaBe2Br at its relaxed geometry.

Computed properties:
**Formation energy without anion corrections**: 0.4242 eV per atom

abc: 4.9731 5.1778 6.2830
angles: 90.00 90.00 90.00
With the nearest neighbours (Å) after each atom.
Space group Cmmm (No. 65)
Unique sites:
La 0.0000 0.0000 0.0000 x2  2 Br 3.14, 8 Be 3.17-3.25
Be 0.0000 0.5000 0.3136 x4  1 Be 2.34
Br 0.0000 0.0000 0.5000 x2  8 Be 2.75-2.84

The following is a DFT calculation (PBE-GGA) of crystalline LaBe2Br at its relaxed geometry.

Computed properties:
**Formation energy without anion corrections**: 0.3851 eV per atom

abc: 3.6689 4.6251 5.9541
angles: 90.00 90.00 90.00
With the nearest neighbours (Å) after each atom.
Space group Pmmm (No. 47)
Unique sites:
La 0.0000 0.0000 0.0000 x1  2 Br 2.98, 8 Be 3.13
Be 0.5000 0.5000 0.1725 x2  1 Be 2.05
Br 0.0000 0.0000 0.5000 x1  2 La 2.98

The following is a DFT calculation (PBE-GGA) of crystalline LaBeBr at its relaxed geometry.

Computed properties:
**Formation energy without anion corrections**: 0.0333 eV per atom

abc: 6.9034 6.9034 6.9034
angles: 90.00 90.00 90.00
With the nearest neighbours (Å) after each atom.
Space group F-43m (No. 216)
Unique sites:
La 0.0000 0.0000 0.0000 x4  4 Br 2.99
Be 0.0000 0.0000 0.5000 x4  4 Br 2.99
Br 0.2500 0.2500 0.7500 x4  4 La 2.99, 4 Be 2.99

The following is a DFT calculation (PBE-GGA) of crystalline LaBe2Br at its relaxed geometry.

Computed properties:
**Formation energy without anion corrections**: 0.6076 eV per atom

abc: 6.9685 6.9685 6.9685
angles: 90.00 90.00 90.00
With the nearest neighbours (Å) after each atom.
Space group Fm-3m (No. 225)
Unique sites:
La 0.0000 0.0000 0.0000 x4  8 Be 3.02
Be 0.2500 0.2500 0.2500 x8  4 La 3.02, 4 Br 3.02
Br 0.0000 0.0000 0.5000 x4  8 Be 3.02

Number 1: size of the total moment 0.3 μB per formula unit, total energy -3.089 eV/atom, energy above the most stable polymorph in this dataset 0.579 eV per atom. Number 2: size of the total moment 0.0 μB per formula unit, total energy -3.128 eV/atom, energy above the most stable polymorph in this dataset 0.540 eV per atom. Number 3: size of the total moment 0.0 μB per formula unit, total energy -3.409 eV/atom, energy above the most stable polymorph in this dataset 0.196 eV per atom. Number 4: size of the total moment 0.0 μB per formula unit, total energy -2.906 eV/atom, energy above the most stable polymorph in this dataset 0.762 eV per atom.